A plane-wave DFT calculation with PBE was carried out for a geometry-optimized Ba2NaLiPd structure.

Computed properties:
Energy of formation from the pure elements = -0.114 eV/atom
Offset from the most stable computed form = 75 meV/atom
Mass density = 3.14 g/cm³

Unit cell a=6.219 b=6.219 c=5.623 alpha=90.00 beta=90.00 gamma=90.00
Space group P4/mmm (No. 123)
Inequivalent atoms, fractional coordinates:
Ba 0.000 0.500 0.000 x2
Na 0.000 0.000 0.500 x1
Li 0.500 0.500 0.500 x1
Pd 0.000 0.000 0.000 x1